First-principles (PBE-GGA) data for a geometry-optimized SiNi2OsCl structure, as listed in the Alexandria database.

Summary:
Crystal system: tetragonal
Mass density in g cm⁻³: 8.1
Total magnetization in μB per cell: 0.00
E in eV per cell: -24.1

extended XYZ file:
```
5
Lattice="-3.886 -0.510 1.018 0.028 -4.172 -1.983 1.138 -1.662 3.513" Properties=species:S:1:pos:R:3 pbc="T T T"
Ni 0.569 -0.831 1.756
Ni -1.943 -0.255 0.509
Si -1.360 -3.172 1.274
Os 0.014 -2.086 -0.992
Cl 0.000 0.000 0.000
```

First-principles (PBE-GGA) data for a geometry-optimized TcNiOsCl2 structure, as listed in the Alexandria database.

Summary:
Crystal system: tetragonal
Mass density in g cm⁻³: 6.8
Total magnetization in μB per cell: 5.50
E in eV per cell: -23.0

extended XYZ file:
```
5
Lattice="-2.911 2.648 2.261 -3.341 -3.662 -0.012 1.663 -1.531 3.935" Properties=species:S:1:pos:R:3 pbc="T T T"
Ni -1.670 -1.831 -0.006
Os -2.294 -1.272 3.092
Tc 0.000 0.000 0.000
Cl 0.832 -0.765 1.967
Cl -1.455 1.324 1.130
```

First-principles (PBE-GGA) data for a geometry-optimized NiPCl structure, as listed in the Alexandria database.

Summary:
Crystal system: monoclinic
ΔE to the lowest computed polymorph in kJ/mol of formula units: 0
Mass density in g cm⁻³: 3.1
Total magnetization in μB per cell: 0.00
E in eV per cell: -28.4

extended XYZ file:
```
6
Lattice="3.291 0.000 0.000 1.645 4.423 0.381 1.645 1.351 9.274" Properties=species:S:1:pos:R:3 pbc="T T T"
Ni 3.291 4.461 6.424
Ni 3.291 1.313 3.231
P 4.936 3.949 5.043
P 1.645 1.825 4.611
Cl 1.645 1.074 1.689
Cl 4.936 4.700 7.965
```

First-principles (PBE-GGA) data for a geometry-optimized NiPCl2 structure, as listed in the Alexandria database.

Summary:
Crystal system: orthorhombic
ΔE to the lowest computed polymorph in kJ/mol of formula units: 188
Mass density in g cm⁻³: 2.9
Total magnetization in μB per cell: 0.00
E in eV per cell: -15.0

extended XYZ file:
```
4
Lattice="-1.845 3.056 0.806 -0.197 -3.236 1.696 6.323 2.411 5.334" Properties=species:S:1:pos:R:3 pbc="T T T"
Cl 5.830 2.223 4.917
Cl 1.202 0.757 3.126
Ni 3.375 1.287 2.847
P 3.360 1.580 4.946
```

First-principles (PBE-GGA) data for a geometry-optimized Ni4PCl structure, as listed in the Alexandria database.

Summary:
Crystal system: cubic
Mass density in g cm⁻³: 6.4
Total magnetization in μB per cell: 0.00
E in eV per cell: -27.0

extended XYZ file:
```
6
Lattice="0.000 3.398 3.398 3.398 0.000 3.398 3.398 3.398 0.000" Properties=species:S:1:pos:R:3 pbc="T T T"
Ni 2.557 4.238 4.238
Ni 4.238 4.238 2.557
Ni 4.238 2.557 4.238
Ni 2.557 2.557 2.557
P 5.096 5.096 5.096
Cl 0.000 0.000 0.000
```

First-principles (PBE-GGA) data for a geometry-optimized NiPCl2 structure, as listed in the Alexandria database.

Summary:
Crystal system: tetragonal
ΔE to the lowest computed polymorph in kJ/mol of formula units: 399
Mass density in g cm⁻³: 3.0
Total magnetization in μB per cell: 2.41
E in eV per cell: -12.8

extended XYZ file:
```
4
Lattice="-2.318 1.515 0.881 -1.563 -2.446 0.092 2.883 -1.463 10.104" Properties=species:S:1:pos:R:3 pbc="T T T"
Cl 0.312 -0.158 1.094
Cl 1.129 -0.573 3.958
Ni -1.220 -0.831 3.012
P 0.221 -1.563 8.064
```

First-principles (PBE-GGA) data for a geometry-optimized NiPCl structure, as listed in the Alexandria database.

Summary:
Crystal system: cubic
ΔE to the lowest computed polymorph in kJ/mol of formula units: 344
Mass density in g cm⁻³: 3.9
Total magnetization in μB per cell: 0.00
E in eV per cell: -10.6

extended XYZ file:
```
3
Lattice="-0.621 3.528 -2.234 -3.195 2.581 0.975 0.784 3.765 1.740" Properties=species:S:1:pos:R:3 pbc="T T T"
Cl 0.000 0.000 0.000
Ni -1.516 4.937 0.241
P -2.274 7.405 0.361
```

First-principles (PBE-GGA) data for a geometry-optimized NiPCl2 structure, as listed in the Alexandria database.

Summary:
Crystal system: monoclinic
ΔE to the lowest computed polymorph in kJ/mol of formula units: 0
Mass density in g cm⁻³: 3.2
Total magnetization in μB per cell: 0.00
E in eV per cell: -16.9

extended XYZ file:
```
4
Lattice="-2.248 -2.409 -1.289 0.985 -2.541 -2.257 1.507 -5.367 5.768" Properties=species:S:1:pos:R:3 pbc="T T T"
Cl -0.049 -1.039 -0.021
Cl -0.099 -7.674 0.715
Ni 0.147 -4.490 1.102
P 0.367 -2.272 1.536
```

First-principles (PBE-GGA) data for a geometry-optimized NiPCl2 structure, as listed in the Alexandria database.

Summary:
Crystal system: trigonal
ΔE to the lowest computed polymorph in kJ/mol of formula units: 95
Mass density in g cm⁻³: 3.4
Total magnetization in μB per cell: 0.00
E in eV per cell: -16.0

extended XYZ file:
```
4
Lattice="8.341 0.070 0.042 7.644 3.339 0.042 7.644 1.630 2.915" Properties=species:S:1:pos:R:3 pbc="T T T"
Cl 0.722 0.154 0.092
Cl 4.987 1.064 0.633
Ni 11.495 2.452 1.459
P 18.237 3.890 2.314
```

First-principles (PBE-GGA) data for a geometry-optimized NiPCl2 structure, as listed in the Alexandria database.

Summary:
Crystal system: monoclinic
ΔE to the lowest computed polymorph in kJ/mol of formula units: 159
Mass density in g cm⁻³: 3.2
Total magnetization in μB per cell: 0.50
E in eV per cell: -15.3

extended XYZ file:
```
4
Lattice="8.159 0.067 -0.251 7.475 3.271 -0.251 -0.607 -0.130 3.220" Properties=species:S:1:pos:R:3 pbc="T T T"
Cl 1.637 0.350 0.270
Cl 5.877 1.255 1.089
Ni 11.270 2.407 2.038
P 3.757 0.802 0.679
```

First-principles (PBE-GGA) data for a geometry-optimized NiPCl structure, as listed in the Alexandria database.

Summary:
Crystal system: orthorhombic
ΔE to the lowest computed polymorph in kJ/mol of formula units: 119
Mass density in g cm⁻³: 3.6
Total magnetization in μB per cell: 0.00
E in eV per cell: -13.0

extended XYZ file:
```
3
Lattice="6.878 0.106 -0.075 5.797 3.076 -0.108 1.081 -1.005 2.795" Properties=species:S:1:pos:R:3 pbc="T T T"
Cl 12.112 2.979 -0.039
Ni 4.878 0.366 1.820
P 9.441 2.014 0.647
```

First-principles (PBE-GGA) data for a geometry-optimized NiPCl structure, as listed in the Alexandria database.

Summary:
Crystal system: cubic
ΔE to the lowest computed polymorph in kJ/mol of formula units: 238
Mass density in g cm⁻³: 4.2
Total magnetization in μB per cell: 0.00
E in eV per cell: -11.7

extended XYZ file:
```
3
Lattice="-0.191 -3.435 -2.294 -0.494 -3.678 1.823 -3.580 -2.033 -0.384" Properties=species:S:1:pos:R:3 pbc="T T T"
Cl -2.132 -4.573 -0.428
Ni -3.199 -6.860 -0.642
P 0.000 0.000 0.000
```